# 1
{
  "formula": "NaTaBePd",
  "functional": "PBE-GGA",
  "state": "optimized geometry",
  "cell": [[0.000, 3.147, 3.147], [3.147, 0.000, 3.147], [3.147, 3.147, 0.000]],
  "species": ["Na", "Ta", "Be", "Pd"],
  "frac_coords": [[0.000, 0.000, 0.000], [0.500, 0.500, 0.500], [0.750, 0.750, 0.750], [0.250, 0.250, 0.250]],
  "relative_energy_mev_per_atom": 22.5,
  "total_energy_ev_per_atom": -5.092,
  "spacegroup": "F-43m"
}


# 2
{
  "formula": "NaTaBePd",
  "functional": "PBE-GGA",
  "state": "optimized geometry",
  "cell": [[0.000, 3.102, 3.102], [3.102, 0.000, 3.102], [3.102, 3.102, 0.000]],
  "species": ["Na", "Ta", "Be", "Pd"],
  "frac_coords": [[0.000, 0.000, 0.000], [0.750, 0.750, 0.750], [0.250, 0.250, 0.250], [0.500, 0.500, 0.500]],
  "relative_energy_mev_per_atom": 0.0,
  "total_energy_ev_per_atom": -5.114,
  "spacegroup": "F-43m"
}


# 3
{
  "formula": "NaPmBe",
  "functional": "PBE-GGA",
  "state": "optimized geometry",
  "cell": [[0.000, 3.443, 3.443], [3.443, 0.000, 3.443], [3.443, 3.443, 0.000]],
  "species": ["Na", "Pm", "Be"],
  "frac_coords": [[0.000, 0.000, 0.000], [0.750, 0.750, 0.750], [0.500, 0.500, 0.500]],
  "relative_energy_mev_per_atom": 412.8,
  "total_energy_ev_per_atom": -2.267,
  "spacegroup": "F-43m"
}